No. 1
The following is a DFT calculation (PBE) of a relaxed SrBi crystal.

## Properties
space-group type: P4/m
raw total energy: -3.17 eV/atom
DOS(E_F): 10.0 states/eV per cell

Unit cell a=13.3093 b=13.3093 c=4.2867 alpha=90.00 beta=90.00 gamma=90.00
Last column: nearest neighbours and their distance in Å.
Atoms (fractional coordinates):
Sr: 0.0419 0.6496 0.0000  4 Bi 3.41-3.50
Sr: 0.3228 0.6208 0.5000  4 Bi 3.39-3.44
Sr: 0.3504 0.0419 0.0000  4 Bi 3.41-3.50
Sr: 0.3792 0.3228 0.5000  4 Bi 3.39-3.44
Sr: 0.6208 0.6772 0.5000  4 Bi 3.39-3.44
Sr: 0.6496 0.9581 0.0000  4 Bi 3.41-3.50
Sr: 0.6772 0.3792 0.5000  4 Bi 3.39-3.44
Sr: 0.9581 0.3504 0.0000  4 Bi 3.41-3.50
Bi: 0.1470 0.4364 0.5000  2 Bi 3.34, 4 Sr 3.39-3.50
Bi: 0.1933 0.2496 0.0000  2 Bi 3.34, 4 Sr 3.41-3.47
Bi: 0.2496 0.8067 0.0000  2 Bi 3.34, 4 Sr 3.41-3.47
Bi: 0.4364 0.8530 0.5000  2 Bi 3.34, 4 Sr 3.39-3.50
Bi: 0.5636 0.1470 0.5000  2 Bi 3.34, 4 Sr 3.39-3.50
Bi: 0.7504 0.1933 0.0000  2 Bi 3.34, 4 Sr 3.41-3.47
Bi: 0.8067 0.7504 0.0000  2 Bi 3.34, 4 Sr 3.41-3.47
Bi: 0.8530 0.5636 0.5000  2 Bi 3.34, 4 Sr 3.39-3.50

---

No. 2
The following is a DFT calculation (PBE) of a relaxed Ce3ZnRh2 crystal.

## Properties
space-group type: Immm
raw total energy: -5.84 eV/atom
DOS(E_F): 28.2 states/eV per cell

Unit cell a=3.1686 b=5.5710 c=15.9226 alpha=90.00 beta=90.00 gamma=90.00
Last column: nearest neighbours and their distance in Å.
Atoms (fractional coordinates):
Ce: 0.0000 0.0000 0.0000  2 Zn 2.79, 4 Rh 3.00
Ce: 0.0000 0.5000 0.1865  1 Rh 2.45
Ce: 0.0000 0.5000 0.8135  1 Rh 2.45
Ce: 0.5000 0.0000 0.3135  1 Rh 2.45
Ce: 0.5000 0.0000 0.6865  1 Rh 2.45
Ce: 0.5000 0.5000 0.5000  2 Zn 2.79, 4 Rh 3.00
Zn: 0.0000 0.5000 0.0000  4 Ce 2.79-2.97
Zn: 0.5000 0.0000 0.5000  4 Ce 2.79-2.97
Rh: 0.0000 0.5000 0.3401  1 Ce 2.45
Rh: 0.0000 0.5000 0.6599  1 Ce 2.45
Rh: 0.5000 0.0000 0.1599  1 Ce 2.45
Rh: 0.5000 0.0000 0.8401  1 Ce 2.45

---

Number 1: formation energy -387 meV/atom. Number 2: formation energy -210 meV/atom.